First-principles (PBE-GGA) data for a geometry-optimized BaSrRe3 structure, as listed in Alexandria via LeMat-Bulk.

```
BaSrRe3
1.0
-4.9821 -0.9341 -0.4808
1.0393 -4.7233 -1.5923
-0.1539 -1.6562 4.8124
Re Ba Sr
3 1 1
Cartesian
0.5196 -2.3617 -0.7962 Re
-0.0769 -0.8281 2.4062 Re
-2.4911 -0.4671 -0.2404 Re
-2.0484 -3.6568 1.3696 Ba
0.0000 0.0000 0.0000 Sr
```

Excess energy over the best structure of this formula in the dataset (eV/f.u.): 0.000
VASP energy (eV/atom): -5.056
Crystal system: cubic
Formation energy (eV/atom): 3.134
Space-group type: Pm-3m (221)


First-principles (PBE-GGA) data for a geometry-optimized Be2V12Ge5 structure, as listed in Alexandria via LeMat-Bulk.

```
Be2V12Ge5
1.0
5.3311 0.0000 0.0000
-2.6656 6.7224 1.0025
0.0000 -1.0906 7.0416
Be V Ge
2 12 5
Cartesian
3.5636 0.0000 0.0000 Be
1.7676 0.0000 0.0000 Be
2.6656 6.3614 2.1949 V
-1.3429 3.5903 7.2778 V
1.3429 3.5903 7.2778 V
-1.2640 4.0375 4.7109 V
1.2640 4.0375 4.7109 V
2.6656 -0.6319 4.9066 V
0.0000 6.2637 3.1375 V
3.9296 1.5943 3.3332 V
1.4015 1.5943 3.3332 V
4.0085 2.0415 0.7663 V
1.3226 2.0415 0.7663 V
0.0000 -0.7296 5.8492 V
0.0000 1.8990 5.6791 Ge
0.0000 3.7187 2.3923 Ge
0.0000 -0.5453 3.5208 Ge
2.6656 1.9131 5.6517 Ge
2.6656 3.7328 2.3650 Ge
```

VASP energy (eV/atom): -7.337
Crystal system: monoclinic
Formation energy (eV/atom): 0.030
Space-group type: C2/m (12)


First-principles (PBE-GGA) data for a geometry-optimized PrY2Hg3 structure, as listed in Alexandria via LeMat-Bulk.

```
PrY2Hg3
1.0
3.7688 0.0000 0.0000
0.0000 3.7688 0.0000
0.0000 0.0000 11.3655
Pr Y Hg
1 2 3
Cartesian
1.8844 1.8844 5.6828 Pr
1.8844 1.8844 9.5152 Y
1.8844 1.8844 1.8503 Y
0.0000 0.0000 0.0000 Hg
0.0000 0.0000 7.7429 Hg
0.0000 0.0000 3.6226 Hg
```

VASP energy (eV/atom): -3.596
Crystal system: tetragonal
Formation energy (eV/atom): -0.494
Space-group type: P4/mmm (123)


First-principles (PBE-GGA) data for a geometry-optimized SmHo9In2 structure, as listed in Alexandria via LeMat-Bulk.

```
SmHo9In2
1.0
4.8548 0.0000 0.0000
0.0000 4.8548 0.0000
0.0000 0.0000 14.9108
Sm Ho In
1 9 2
Cartesian
0.0000 0.0000 0.0000 Sm
2.4274 2.4274 0.0000 Ho
2.4274 2.4274 5.0462 Ho
2.4274 2.4274 9.8645 Ho
2.4274 0.0000 2.5927 Ho
2.4274 0.0000 7.4554 Ho
2.4274 0.0000 12.3181 Ho
0.0000 2.4274 2.5927 Ho
0.0000 2.4274 7.4554 Ho
0.0000 2.4274 12.3181 Ho
0.0000 0.0000 5.0606 In
0.0000 0.0000 9.8501 In
```

VASP energy (eV/atom): -4.444
Crystal system: tetragonal
Formation energy (eV/atom): -0.161
Space-group type: P4/mmm (123)